# 1
{
  "formula": "As2PbAu",
  "functional": "PBE",
  "state": "optimized geometry",
  "spacegroup": "Pm",
  "crystal_system": "monoclinic",
  "lattice_angstrom": [[-3.147, 4.015, -1.931], [-2.335, -1.911, -0.167], [-1.462, 1.337, 5.163]],
  "species": ["As", "Au", "Pb", "As"],
  "frac_coords": [[0.000, 0.250, 0.123], [0.000, 0.252, 0.623], [0.500, 0.749, 0.627], [0.500, 0.249, 0.127]]
}



# 2
{
  "formula": "CrNi3Pd4",
  "functional": "PBE",
  "state": "optimized geometry",
  "spacegroup": "C2/m",
  "crystal_system": "monoclinic",
  "lattice_angstrom": [[3.754, 0.000, 0.943], [1.822, 4.105, 0.692], [0.225, -0.866, 7.046]],
  "species": ["Pd", "Ni", "Ni", "Ni", "Cr", "Pd", "Pd", "Pd"],
  "frac_coords": [[0.375, 0.376, 0.873], [0.750, 0.750, 0.750], [0.500, 0.500, 0.500], [0.250, 0.250, 0.250], [0.000, 0.000, 0.000], [0.875, 0.874, 0.376], [0.625, 0.624, 0.127], [0.125, 0.126, 0.624]]
}



# 3
{
  "formula": "PrAgPd4",
  "functional": "PBE",
  "state": "optimized geometry",
  "spacegroup": "F-43m",
  "crystal_system": "cubic",
  "lattice_angstrom": [[-5.093, 0.967, 1.549], [-1.766, -1.820, 4.779], [-0.990, 3.481, 4.022]],
  "species": ["Pd", "Pd", "Pd", "Pd", "Pr", "Ag"],
  "frac_coords": [[0.625, 0.625, 0.625], [0.124, 0.625, 0.625], [0.625, 0.625, 0.124], [0.625, 0.124, 0.625], [0.250, 0.250, 0.250], [0.000, 0.000, 0.000]]
}



# 4
{
  "formula": "Nb3Cr",
  "functional": "PBE",
  "state": "optimized geometry",
  "spacegroup": "Pm-3m",
  "crystal_system": "cubic",
  "lattice_angstrom": [[4.132, 0.000, 0.000], [0.000, 4.132, 0.000], [0.000, 0.000, 4.132]],
  "species": ["Cr", "Nb", "Nb", "Nb"],
  "frac_coords": [[0.000, 0.000, 0.000], [0.000, 0.500, 0.500], [0.500, 0.000, 0.500], [0.500, 0.500, 0.000]]
}



# 5
{
  "formula": "NaGa5Ir2",
  "functional": "PBE",
  "state": "optimized geometry",
  "spacegroup": "Immm",
  "crystal_system": "orthorhombic",
  "lattice_angstrom": [[-0.733, 2.652, 2.479], [-1.362, -3.178, 5.763], [5.181, 0.018, 4.280]],
  "species": ["Ga", "Ga", "Ga", "Ir", "Na", "Ga", "Ir", "Ga"],
  "frac_coords": [[0.642, 0.145, 0.572], [0.358, 0.428, 0.855], [0.000, 0.500, 0.500], [0.769, 0.731, 0.731], [0.000, 0.000, 0.000], [0.642, 0.572, 0.145], [0.231, 0.269, 0.269], [0.358, 0.855, 0.428]]
}



# 6
{
  "formula": "NdEr2Pu",
  "functional": "PBE",
  "state": "optimized geometry",
  "spacegroup": "Fm-3m",
  "crystal_system": "cubic",
  "lattice_angstrom": [[5.611, 0.000, 0.000], [2.805, 4.859, 0.000], [2.805, 1.620, 4.581]],
  "species": ["Er", "Pu", "Nd", "Er"],
  "frac_coords": [[0.750, 0.750, 0.750], [0.000, 0.000, 0.000], [0.500, 0.500, 0.500], [0.250, 0.250, 0.250]]
}



# 7
{
  "formula": "Mn3VRh4",
  "functional": "PBE",
  "state": "optimized geometry",
  "spacegroup": "Pmmm",
  "crystal_system": "orthorhombic",
  "lattice_angstrom": [[3.063, 0.000, 0.000], [0.000, 4.303, 0.000], [0.000, 0.000, 8.569]],
  "species": ["Rh", "Mn", "Mn", "Rh", "V", "Rh", "Rh", "Mn"],
  "frac_coords": [[0.000, 0.500, 0.759], [0.500, 0.000, 0.251], [0.500, 0.000, 0.749], [0.000, 0.000, 0.500], [0.500, 0.500, 0.000], [0.000, 0.500, 0.241], [0.000, 0.000, 0.000], [0.500, 0.500, 0.500]]
}



# 8
{
  "formula": "Tb8NiPd2",
  "functional": "PBE",
  "state": "optimized geometry",
  "spacegroup": "Cm",
  "crystal_system": "monoclinic",
  "lattice_angstrom": [[6.007, -0.012, -1.057], [-2.034, 6.756, -2.885], [-0.200, -0.172, 7.618]],
  "species": ["Tb", "Tb", "Tb", "Pd", "Tb", "Tb", "Tb", "Tb", "Ni", "Tb", "Pd"],
  "frac_coords": [[0.805, 0.646, 0.646], [0.169, 0.358, 0.358], [0.588, 0.346, 0.088], [0.488, 0.694, 0.319], [0.984, 0.198, 0.800], [0.358, 0.919, 0.660], [0.358, 0.660, 0.919], [0.984, 0.800, 0.198], [0.189, 0.006, 0.006], [0.588, 0.088, 0.346], [0.488, 0.319, 0.694]]
}



# 9
{
  "formula": "Cu2ReAs",
  "functional": "PBE",
  "state": "optimized geometry",
  "spacegroup": "I-4m2",
  "crystal_system": "tetragonal",
  "lattice_angstrom": [[-1.789, 2.725, -3.448], [-4.149, -1.596, -1.661], [1.702, 0.868, 4.344]],
  "species": ["Re", "Cu", "As", "Cu"],
  "frac_coords": [[0.500, 0.500, 0.000], [0.250, 0.750, 0.500], [0.750, 0.250, 0.500], [0.000, 0.000, 0.000]]
}



# 10
{
  "formula": "La2Pr5Nd4",
  "functional": "PBE",
  "state": "optimized geometry",
  "spacegroup": "Immm",
  "crystal_system": "orthorhombic",
  "lattice_angstrom": [[-2.979, 0.217, 2.014], [4.479, -4.469, 7.109], [2.928, 12.657, -0.258]],
  "species": ["Pr", "Pr", "Nd", "La", "La", "Nd", "Nd", "Pr", "Nd", "Pr", "Pr"],
  "frac_coords": [[0.856, 0.050, 0.712], [0.856, 0.662, 0.712], [0.000, 0.304, 0.000], [0.731, 0.731, 0.462], [0.269, 0.269, 0.538], [0.403, 0.403, 0.806], [0.000, 0.696, 0.000], [0.144, 0.338, 0.288], [0.597, 0.597, 0.194], [0.500, 0.000, 0.000], [0.144, 0.950, 0.288]]
}



# 11
{
  "formula": "V2GaRe",
  "functional": "PBE",
  "state": "optimized geometry",
  "spacegroup": "R-3m",
  "crystal_system": "trigonal",
  "lattice_angstrom": [[-2.649, 0.493, 0.983], [-0.482, 0.123, 2.825], [0.433, 8.345, 1.167]],
  "species": ["Re", "V", "V", "Ga"],
  "frac_coords": [[0.000, 0.000, 0.000], [0.253, 0.253, 0.241], [0.747, 0.747, 0.759], [0.500, 0.500, 0.500]]
}



# 12
{
  "formula": "CaLa2MgPd",
  "functional": "PBE",
  "state": "optimized geometry",
  "spacegroup": "P4/mmm",
  "crystal_system": "tetragonal",
  "lattice_angstrom": [[-0.633, 5.465, 1.234], [-4.499, -1.236, 3.167], [3.383, -0.637, 4.558]],
  "species": ["Pd", "Ca", "Mg", "La", "La"],
  "frac_coords": [[0.000, 0.000, 0.000], [0.000, 0.000, 0.500], [0.500, 0.500, 0.500], [0.500, 0.000, 0.000], [0.000, 0.500, 0.000]]
}



no.,DOS at the Fermi energy (states/eV per cell),uncorrected energy (eV per atom)
1,1.76,-3.928
2,13.99,-5.950
3,5.83,-5.248
4,5.70,-9.596
5,3.10,-4.555
6,11.37,-6.855
7,5.74,-8.481
8,13.93,-5.103
9,1.48,-6.001
10,16.67,-4.619
11,4.66,-8.397
12,7.00,-3.921